Density functional theory data (PBE) for a relaxed structure of Pr4Al3Sn. Values from VASP.

Computed properties:
Total DFT energy (no corrections)   -4.763 eV per atom
Density   5.43 g/cm3

```
&SYSTEM
  ibrav = 0, nat = 8, ntyp = 3
/
ATOMIC_SPECIES
Pr 140.91 Pr.upf
Al 26.98 Al.upf
Sn 118.71 Sn.upf
ATOMIC_POSITIONS crystal
Pr 0.5000 0.5000 0.3645
Pr 0.0000 0.5000 0.8542
Pr 0.0000 0.0000 0.1436
Pr 0.5000 0.0000 0.6407
Al 0.0000 0.5000 0.5675
Al 0.0000 0.0000 0.4309
Al 0.5000 0.0000 0.9240
Sn 0.5000 0.5000 0.0747
CELL_PARAMETERS angstrom
4.6227 0.0000 0.0000
0.0000 4.3109 0.0000
0.0000 0.0000 11.7041
```

---

Density functional theory data (PBE) for a relaxed structure of Pr3AlSn3. Values from VASP.

Computed properties:
Total DFT energy (no corrections)   -4.985 eV per atom
Density   6.71 g/cm3

```
&SYSTEM
  ibrav = 0, nat = 14, ntyp = 3
/
ATOMIC_SPECIES
Pr 140.91 Pr.upf
Al 26.98 Al.upf
Sn 118.71 Sn.upf
ATOMIC_POSITIONS crystal
Pr 0.5169 0.3465 0.6198
Pr 0.4831 0.6535 0.3802
Pr 0.2656 0.2382 0.2307
Pr 0.7344 0.7618 0.7693
Pr 0.3959 0.2867 0.9215
Pr 0.6041 0.7133 0.0785
Al 0.7695 0.0852 0.3759
Al 0.2305 0.9148 0.6241
Sn 0.8540 0.7501 0.5419
Sn 0.1460 0.2499 0.4582
Sn 0.1204 0.8353 0.9238
Sn 0.8796 0.1647 0.0762
Sn 0.9890 0.7931 0.2290
Sn 0.0110 0.2069 0.7710
CELL_PARAMETERS angstrom
-4.5919 -0.3443 -0.1337
-2.2190 -3.1737 5.0183
-3.4405 11.8224 8.3560
```

---

Density functional theory data (PBE) for a relaxed structure of Pr2Al3Sn2. Values from VASP.

Computed properties:
Total DFT energy (no corrections)   -4.369 eV per atom
Density   5.43 g/cm3

```
&SYSTEM
  ibrav = 0, nat = 14, ntyp = 3
/
ATOMIC_SPECIES
Pr 140.91 Pr.upf
Al 26.98 Al.upf
Sn 118.71 Sn.upf
ATOMIC_POSITIONS crystal
Pr 0.0000 0.0000 0.5087
Pr 0.5000 0.5087 0.5000
Pr 0.4913 0.9913 0.9913
Pr 0.0087 0.5000 0.0000
Al 0.7742 0.7500 0.0242
Al 0.7258 0.2500 0.4758
Al 0.9758 0.2258 0.2500
Al 0.5242 0.2742 0.7500
Al 0.2500 0.0242 0.2742
Al 0.7500 0.4758 0.2258
Sn 0.0000 0.0000 0.9004
Sn 0.5000 0.9004 0.5000
Sn 0.0996 0.5996 0.5996
Sn 0.4004 0.5000 0.0000
CELL_PARAMETERS angstrom
7.8135 0.0000 0.0000
-2.6045 7.3667 0.0000
-2.6045 -3.6833 6.3797
```

---

Density functional theory data (PBE) for a relaxed structure of Pr3AlSn. Values from VASP.

Computed properties:
Total DFT energy (no corrections)   -4.670 eV per atom
Density   5.95 g/cm3

```
&SYSTEM
  ibrav = 0, nat = 10, ntyp = 3
/
ATOMIC_SPECIES
Pr 140.91 Pr.upf
Al 26.98 Al.upf
Sn 118.71 Sn.upf
ATOMIC_POSITIONS crystal
Pr 0.2500 0.8085 0.1915
Pr 0.7500 0.1915 0.8085
Pr 0.2500 0.8085 0.6172
Pr 0.7500 0.1915 0.3828
Pr 0.2500 0.3828 0.1915
Pr 0.7500 0.6172 0.8085
Al 0.0000 0.0000 0.0000
Al 0.5000 0.0000 0.0000
Sn 0.2500 0.3335 0.6665
Sn 0.7500 0.6665 0.3335
CELL_PARAMETERS angstrom
5.5142 0.0000 0.0000
0.0000 8.1477 -0.0003
0.0000 -4.0719 7.0572
```

---

Density functional theory data (PBE) for a relaxed structure of Pr2AlSn4. Values from VASP.

Computed properties:
Total DFT energy (no corrections)   -4.620 eV per atom
Density   6.58 g/cm3

```
&SYSTEM
  ibrav = 0, nat = 7, ntyp = 3
/
ATOMIC_SPECIES
Pr 140.91 Pr.upf
Al 26.98 Al.upf
Sn 118.71 Sn.upf
ATOMIC_POSITIONS crystal
Pr 0.5000 0.0000 0.7627
Pr 0.0000 0.5000 0.2373
Al 0.5000 0.5000 0.0000
Sn 0.5000 0.0000 0.1694
Sn 0.0000 0.5000 0.8306
Sn 0.5000 0.5000 0.5000
Sn 0.0000 0.0000 0.5000
CELL_PARAMETERS angstrom
-3.0197 0.0368 3.3588
-2.0193 -3.6293 -1.7756
5.7616 -5.7709 5.2432
```

---

Density functional theory data (PBE) for a relaxed structure of Pr2AlSn2. Values from VASP.

Computed properties:
Total DFT energy (no corrections)   -4.799 eV per atom
Density   6.16 g/cm3
Energy relative to the lowest polymorph listed for this composition   0.57 eV per formula unit

```
&SYSTEM
  ibrav = 0, nat = 10, ntyp = 3
/
ATOMIC_SPECIES
Pr 140.91 Pr.upf
Al 26.98 Al.upf
Sn 118.71 Sn.upf
ATOMIC_POSITIONS crystal
Pr 0.9859 0.7311 0.9719
Pr 0.7937 0.4277 0.5874
Pr 0.2063 0.9277 0.4126
Pr 0.0141 0.2311 0.0281
Al 0.4032 0.0620 0.8065
Al 0.5968 0.5620 0.1935
Sn 0.4188 0.4540 0.8376
Sn 0.8297 0.9596 0.6594
Sn 0.1703 0.4596 0.3406
Sn 0.5812 0.9540 0.1624
CELL_PARAMETERS angstrom
4.6583 0.0000 0.0000
0.0000 7.1081 0.0000
-2.3292 0.0000 8.8867
```

---

Computed values of calculated volume (unit: A^3/atom) for the preceding records, in sequence: 29.15; 28.48; 26.23; 31.71; 28.26; 29.43.
Computed values of formation enthalpy at 0 K (unit: eV per atom) for the preceding records, in sequence: -0.4697; -0.6869; -0.2560; -0.2531; -0.4322; -0.5376.